The following is a meta-GGA SCAN calculation of a PBEsol-optimized structure of BeHg2Sb, from Alexandria.

Summary:
The value obtained for the raw total energy is -44.14 eV/atom. The value obtained for the total magnetic moment is 0.00 μB per atom. Its space-group type is No. 71. Its density of states at the Fermi level is 1.739 states/eV per cell. The energy relative to the lowest polymorph listed for this composition is 53.5 meV per atom.

a b c (Å): 3.270 3.977 6.982
angles (deg): 106.55 103.54 90.00
Sites, in units of the cell vectors:
Sb  0.500  0.000  0.000
Hg  0.687  0.687  0.374
Hg  0.313  0.313  0.626
Be  0.000  0.500  0.000